Record 1
! Rb3PuMn2S6, optimized geometry, DFT PBE-GGA; values from VASP
! formation energy without anion corrections	-1009	meV per atom
! theoretical density	4.46	g/cm3
&SYSTEM
  ibrav = 0, nat = 12, ntyp = 4
/
ATOMIC_SPECIES
S 32.06 S.upf
Pu 244.00 Pu.upf
Rb 85.47 Rb.upf
Mn 54.94 Mn.upf
CELL_PARAMETERS angstrom
6.643 0.194 -0.015
-3.152 5.851 -0.015
-1.184 -2.049 7.576
ATOMIC_POSITIONS crystal
S 0.602 0.959 0.814
S 0.041 0.398 0.186
S 0.959 0.602 0.814
Pu 0.000 0.000 0.000
S 0.702 0.702 0.167
Rb 0.500 0.500 0.500
S 0.298 0.298 0.833
Rb 0.163 0.837 0.500
Mn 0.330 0.670 0.000
S 0.398 0.041 0.186
Mn 0.670 0.330 0.000
Rb 0.837 0.163 0.500

Record 2
! CsClF2, optimized geometry, DFT PBE-GGA; values from VASP
! formation energy without anion corrections	-1158	meV per atom
! theoretical density	3.95	g/cm3
! distance to the lowest polymorph of the same formula	0.564	eV per atom
&SYSTEM
  ibrav = 0, nat = 4, ntyp = 3
/
ATOMIC_SPECIES
Cl 35.45 Cl.upf
F 19.00 F.upf
Cs 132.91 Cs.upf
CELL_PARAMETERS angstrom
2.591 0.000 4.978
-1.296 2.244 4.978
-1.296 -2.244 4.978
ATOMIC_POSITIONS crystal
Cl 0.500 0.500 0.500
F 0.218 0.218 0.218
F 0.782 0.782 0.782
Cs 0.000 0.000 0.000

Record 3
! LaHoPa, optimized geometry, DFT PBE-GGA; values from VASP
! formation energy	155	meV/atom
! theoretical density	9.81	g/cm3
! distance to the lowest polymorph of the same formula	0.011	eV per atom
&SYSTEM
  ibrav = 0, nat = 3, ntyp = 3
/
ATOMIC_SPECIES
La 138.91 La.upf
Ho 164.93 Ho.upf
Pa 231.04 Pa.upf
CELL_PARAMETERS angstrom
3.408 0.000 0.000
0.000 3.408 0.000
-1.704 -1.704 7.797
ATOMIC_POSITIONS crystal
La 0.604 0.604 0.207
Ho 0.298 0.298 0.596
Pa 0.949 0.949 0.897

Record 4
! Cd2MoPb, optimized geometry, DFT PBE-GGA; values from VASP
! formation energy	515	meV/atom
! theoretical density	10.35	g/cm3
&SYSTEM
  ibrav = 0, nat = 4, ntyp = 3
/
ATOMIC_SPECIES
Pb 207.20 Pb.upf
Mo 95.94 Mo.upf
Cd 112.41 Cd.upf
CELL_PARAMETERS angstrom
-3.420 -3.863 -1.869
2.579 -1.166 4.701
-2.343 1.297 1.606
ATOMIC_POSITIONS crystal
Pb 0.000 0.500 0.500
Mo 0.500 0.000 0.500
Cd 0.000 0.000 0.000
Cd 0.500 0.500 0.000

Record 5
! Pr12Er3In, optimized geometry, DFT PBE-GGA; values from VASP
! formation energy	-52	meV/atom
! theoretical density	7.04	g/cm3
&SYSTEM
  ibrav = 0, nat = 16, ntyp = 3
/
ATOMIC_SPECIES
Er 167.26 Er.upf
Pr 140.91 Pr.upf
In 114.82 In.upf
CELL_PARAMETERS angstrom
5.123 0.000 0.000
0.000 5.123 0.000
0.000 0.000 20.733
ATOMIC_POSITIONS crystal
Er 0.000 0.000 0.751
Pr 0.500 0.500 0.752
Er 0.000 0.000 0.500
Pr 0.500 0.500 0.248
Pr 0.000 0.500 0.121
Pr 0.500 0.500 0.000
Pr 0.500 0.000 0.879
Pr 0.500 0.500 0.500
Pr 0.000 0.500 0.626
Pr 0.000 0.500 0.374
In 0.000 0.000 0.000
Pr 0.500 0.000 0.374
Er 0.000 0.000 0.249
Pr 0.000 0.500 0.879
Pr 0.500 0.000 0.626
Pr 0.500 0.000 0.121

Record 6
! PrSc2Cd2, optimized geometry, DFT PBE-GGA; values from VASP
! formation energy	-72	meV/atom
! theoretical density	5.55	g/cm3
! distance to the lowest polymorph of the same formula	0.014	eV per atom
&SYSTEM
  ibrav = 0, nat = 10, ntyp = 3
/
ATOMIC_SPECIES
Pr 140.91 Pr.upf
Cd 112.41 Cd.upf
Sc 44.96 Sc.upf
CELL_PARAMETERS angstrom
4.804 0.000 0.000
0.000 4.804 0.000
-2.402 -2.402 11.810
ATOMIC_POSITIONS crystal
Pr 0.374 0.374 0.748
Pr 0.626 0.626 0.252
Cd 0.185 0.185 0.370
Cd 0.000 0.500 0.000
Sc 0.750 0.250 0.500
Sc 0.071 0.071 0.142
Cd 0.815 0.815 0.630
Cd 0.500 0.000 0.000
Sc 0.250 0.750 0.500
Sc 0.929 0.929 0.858

Record 7
! CsCoNiBr6, optimized geometry, DFT PBE-GGA; values from VASP
! formation energy without anion corrections	-628	meV per atom
! theoretical density	4.02	g/cm3
&SYSTEM
  ibrav = 0, nat = 9, ntyp = 4
/
ATOMIC_SPECIES
Cs 132.91 Cs.upf
Br 79.90 Br.upf
Ni 58.69 Ni.upf
Co 58.93 Co.upf
CELL_PARAMETERS angstrom
-3.059 -5.305 2.144
1.724 -2.678 5.653
-5.503 4.764 3.936
ATOMIC_POSITIONS crystal
Cs 0.000 0.000 0.000
Br 0.362 0.625 0.333
Br 0.014 0.625 0.667
Ni 0.667 0.667 0.500
Br 0.625 0.362 0.667
Br 0.362 0.014 0.667
Br 0.014 0.362 0.333
Co 0.333 0.333 0.500
Br 0.625 0.014 0.333

Record 8
! Cd2NiBr, optimized geometry, DFT PBE-GGA; values from VASP
! formation energy without anion corrections	245	meV per atom
! theoretical density	7.31	g/cm3
! distance to the lowest polymorph of the same formula	0.269	eV per atom
&SYSTEM
  ibrav = 0, nat = 4, ntyp = 3
/
ATOMIC_SPECIES
Cd 112.41 Cd.upf
Ni 58.69 Ni.upf
Br 79.90 Br.upf
CELL_PARAMETERS angstrom
3.242 0.000 0.000
0.000 5.047 0.000
0.000 0.000 5.047
ATOMIC_POSITIONS crystal
Cd 0.000 0.500 0.500
Ni 0.500 0.500 0.000
Cd 0.000 0.000 0.000
Br 0.500 0.000 0.500

Record 9
! Ta2TeOs, optimized geometry, DFT PBE-GGA; values from VASP
! formation energy without anion corrections	237	meV per atom
! theoretical density	15.54	g/cm3
&SYSTEM
  ibrav = 0, nat = 4, ntyp = 3
/
ATOMIC_SPECIES
Os 190.23 Os.upf
Ta 180.95 Ta.upf
Te 127.60 Te.upf
CELL_PARAMETERS angstrom
-3.411 2.878 -0.349
-0.339 -0.029 3.082
3.205 3.996 1.622
ATOMIC_POSITIONS crystal
Os 0.500 0.637 0.780
Ta 0.000 0.980 0.969
Te 0.000 0.656 0.490
Ta 0.500 0.227 0.261

Record 10
! Ac2ErTlS6, optimized geometry, DFT PBE-GGA; values from VASP
! formation energy without anion corrections	-1613	meV per atom
! theoretical density	6.45	g/cm3
&SYSTEM
  ibrav = 0, nat = 20, ntyp = 4
/
ATOMIC_SPECIES
S 32.06 S.upf
Er 167.26 Er.upf
Ac 227.00 Ac.upf
Tl 204.38 Tl.upf
CELL_PARAMETERS angstrom
6.934 0.000 -0.089
0.000 7.601 0.000
-0.065 0.000 9.939
ATOMIC_POSITIONS crystal
S 0.366 0.957 0.748
S 0.824 0.809 0.564
S 0.866 0.543 0.248
S 0.816 0.818 0.940
S 0.316 0.682 0.440
S 0.324 0.691 0.064
Er 0.000 0.500 0.500
S 0.134 0.457 0.752
Ac 0.464 0.405 0.253
Ac 0.536 0.595 0.747
Er 0.500 0.000 0.000
Ac 0.964 0.095 0.753
Ac 0.036 0.905 0.247
S 0.184 0.182 0.060
Tl 0.000 0.500 0.000
S 0.684 0.318 0.560
S 0.176 0.191 0.436
S 0.634 0.043 0.252
S 0.676 0.309 0.936
Tl 0.500 0.000 0.500

Record 11
! Ta2GaTc, optimized geometry, DFT PBE-GGA; values from VASP
! formation energy	-160	meV/atom
! theoretical density	13.46	g/cm3
&SYSTEM
  ibrav = 0, nat = 4, ntyp = 3
/
ATOMIC_SPECIES
Ga 69.72 Ga.upf
Ta 180.95 Ta.upf
Tc 98.00 Tc.upf
CELL_PARAMETERS angstrom
3.932 0.000 0.000
0.000 4.076 0.000
0.000 0.000 4.076
ATOMIC_POSITIONS crystal
Ga 0.500 0.000 0.000
Ta 0.000 0.500 0.000
Ta 0.000 0.000 0.500
Tc 0.500 0.500 0.500

Record 12
! LaZrTe, optimized geometry, DFT PBE-GGA; values from VASP
! formation energy without anion corrections	-633	meV per atom
! theoretical density	6.94	g/cm3
! distance to the lowest polymorph of the same formula	0.000	eV per atom
&SYSTEM
  ibrav = 0, nat = 3, ntyp = 3
/
ATOMIC_SPECIES
Te 127.60 Te.upf
Zr 91.22 Zr.upf
La 138.91 La.upf
CELL_PARAMETERS angstrom
-6.396 1.083 0.649
-5.766 -2.500 1.735
-0.592 0.992 3.617
ATOMIC_POSITIONS crystal
Te 0.301 0.301 0.699
Zr 0.693 0.693 0.307
La 0.006 0.006 0.994